(1)
Computed, not measured: a relaxed LaPuZnPt crystal at the PBE level of DFT.

DFT formation energy (meV per atom): -514
DFT total energy (eV/atom): -7.157
Space group: No. 216
Size of the total moment (μB/atom): 1.43

Geometry as POSCAR:
```
LaPuZnPt
1.0
0.000 3.627 3.627
3.627 0.000 3.627
3.627 3.627 0.000
La Pu Zn Pt
1 1 1 1
Cartesian
0.000 0.000 0.000
3.627 3.627 3.627
5.440 5.440 5.440
1.813 1.813 1.813
```



(2)
Computed, not measured: a relaxed Fe2SiAs crystal at the PBE level of DFT.

DFT total energy (eV/atom): -6.899
Space group: No. 8
Size of the total moment (μB/atom): 0.00
Formation energy from raw total energies (eV/atom): -0.15

Geometry as POSCAR:
```
Fe2SiAs
1.0
4.174 -1.419 0.000
4.174 1.419 0.000
-0.990 0.000 3.980
Fe Si As
2 1 1
Cartesian
0.000 0.000 0.000
1.311 0.000 2.374
3.626 0.000 2.004
6.046 0.000 0.464
```



(3)
Computed, not measured: a relaxed CaAcP2 crystal at the PBE level of DFT.

DFT formation energy (meV per atom): -908
Relative energy among the computed polymorphs (eV per atom): 0.167
DFT total energy (eV/atom): -5.140
Space group: No. 123
Size of the total moment (μB/atom): 0.00

Geometry as POSCAR:
```
CaAcP2
1.0
5.130 0.000 0.000
0.000 5.130 0.000
0.000 0.000 3.799
Ca Ac P
1 1 2
Cartesian
0.000 0.000 0.000
2.565 2.565 0.000
0.000 2.565 1.900
2.565 0.000 1.900
```